1.
Tm2ThHg | Alexandria | PBE | relaxed; space-group type = R-3m; energy above the lowest structure with this stoichiometry = 0.077 eV per atom
1.0
1.7894 1.0331 10.3858
-1.7894 1.0331 10.3858
0.0000 -2.0662 10.3858
Tm Th Hg
2 1 1
direct
0.2429 0.2429 0.2429
0.7571 0.7571 0.7571
0.0000 0.0000 0.0000
0.5000 0.5000 0.5000



2.
ZrTaTcW | Alexandria | PBE | relaxed; space-group type = F-43m
1.0
0.0000 3.2661 3.2661
3.2661 0.0000 3.2661
3.2661 3.2661 0.0000
Zr Ta Tc W
1 1 1 1
direct
0.0000 0.0000 0.0000
0.5000 0.5000 0.5000
0.2500 0.2500 0.2500
0.7500 0.7500 0.7500



Number 1: calculated formation energy -0.17 eV per atom. Number 2: calculated formation energy -0.15 eV per atom.